Entry 1:
{"formula": "MgCr2Pt", "functional": "PBE-GGA", "state": "optimized geometry", "ef_mev_per_atom": 135, "cell": [[-0.395, -3.936, -2.125], [0.520, -1.289, 2.290], [-4.398, -0.525, 1.790]], "species": ["Cr", "Mg", "Pt", "Cr"], "fractional_positions": [[0.000, 0.553, 0.469], [0.500, 0.250, 0.250], [0.500, 0.750, 0.750], [0.000, 0.947, 0.031]]}


Entry 2:
{"formula": "CdReP2", "functional": "PBE-GGA", "state": "optimized geometry", "ef_mev_per_atom": 192, "cell": [[-2.709, 3.098, -0.845], [-3.181, 0.524, -2.695], [-3.936, -1.753, 3.442]], "species": ["P", "Cd", "P", "Re"], "fractional_positions": [[0.468, 0.468, 0.573], [0.250, 0.250, 0.250], [0.032, 0.032, 0.927], [0.750, 0.750, 0.750]]}


Entry 3:
{"formula": "YTmZnCu", "functional": "PBE-GGA", "state": "optimized geometry", "ef_mev_per_atom": -310, "cell": [[-2.817, 2.067, 0.182], [-1.053, -1.689, 2.877], [3.578, 4.528, 3.967]], "species": ["Tm", "Cu", "Y", "Zn"], "fractional_positions": [[0.500, 0.500, 0.599], [0.000, 0.000, 0.368], [0.500, 0.500, 0.112], [0.000, 0.000, 0.849]]}


Entry 4:
{"formula": "AlSbSe4", "functional": "PBE-GGA", "state": "optimized geometry", "e_form_raw_mev_per_atom": 570, "cell": [[-4.138, 1.786, 3.620], [-2.638, 5.064, -0.898], [-5.511, 0.119, -1.742]], "species": ["Al", "Se", "Sb", "Se", "Se", "Se"], "fractional_positions": [[0.750, 0.750, 0.750], [0.375, 0.375, 0.874], [0.000, 0.000, 0.000], [0.375, 0.375, 0.375], [0.375, 0.874, 0.375], [0.874, 0.375, 0.375]]}


Entry 5:
{"formula": "KPu2Zn2O7", "functional": "PBE-GGA", "state": "optimized geometry", "e_form_raw_mev_per_atom": -2202, "cell": [[4.182, 0.000, 0.000], [0.000, 4.351, 0.000], [-2.091, -2.175, 9.557]], "species": ["O", "O", "O", "O", "K", "Pu", "Zn", "Pu", "Zn", "O", "O", "O"], "fractional_positions": [[0.375, 0.875, 0.750], [0.736, 0.736, 0.472], [0.625, 0.125, 0.250], [0.887, 0.387, 0.773], [0.000, 0.000, 0.000], [0.387, 0.387, 0.775], [0.266, 0.766, 0.532], [0.613, 0.613, 0.225], [0.734, 0.234, 0.468], [0.264, 0.264, 0.528], [0.113, 0.613, 0.227], [0.500, 0.500, 0.000]]}


Entry 6:
{"formula": "Dy5ErAl3", "functional": "PBE-GGA", "state": "optimized geometry", "ef_mev_per_atom": -272, "cell": [[6.621, 0.000, 0.000], [0.000, 9.057, 0.000], [0.000, -4.528, 7.843]], "species": ["Dy", "Al", "Dy", "Dy", "Dy", "Dy", "Dy", "Dy", "Dy", "Al", "Al", "Dy", "Er", "Al", "Er", "Dy", "Al", "Al"], "fractional_positions": [[0.500, 0.333, 0.667], [0.250, 0.332, 0.000], [0.250, 0.000, 0.667], [0.000, 0.333, 0.667], [0.250, 0.333, 0.333], [0.000, 0.667, 0.333], [0.750, 0.333, 0.000], [0.250, 0.667, 0.000], [0.750, 0.000, 0.333], [0.750, 0.332, 0.332], [0.250, 0.000, 0.332], [0.500, 0.667, 0.333], [0.500, 0.000, 0.000], [0.250, 0.668, 0.668], [0.000, 0.000, 0.000], [0.750, 0.667, 0.667], [0.750, 0.000, 0.668], [0.750, 0.668, 0.000]]}


Entry 7:
{"formula": "Mn2InPI", "functional": "PBE-GGA", "state": "optimized geometry", "e_form_raw_mev_per_atom": 974, "cell": [[5.467, 0.000, 0.000], [0.000, 4.839, 0.000], [0.000, 0.000, 5.467]], "species": ["P", "In", "I", "Mn", "Mn"], "fractional_positions": [[0.000, 0.500, 0.000], [0.000, 0.000, 0.000], [0.500, 0.500, 0.500], [0.500, 0.000, 0.000], [0.000, 0.000, 0.500]]}


Entry 8:
{"formula": "SmPuS2", "functional": "PBE-GGA", "state": "optimized geometry", "e_form_raw_mev_per_atom": -1916, "cell": [[3.974, 0.000, 0.000], [1.987, 3.442, 0.000], [1.987, 1.147, 6.529]], "species": ["Pu", "Sm", "S", "S"], "fractional_positions": [[0.000, 0.000, 0.000], [0.500, 0.500, 0.500], [0.252, 0.252, 0.245], [0.748, 0.748, 0.755]]}


Entry 9:
{"formula": "NdSmNCl", "functional": "PBE-GGA", "state": "optimized geometry", "e_form_raw_mev_per_atom": -1538, "cell": [[-1.983, 2.249, 2.107], [-1.635, -1.970, -2.623], [0.809, -6.085, 4.067]], "species": ["Sm", "Nd", "N", "Cl"], "fractional_positions": [[0.092, 0.944, 0.052], [0.508, 0.152, 0.675], [0.314, 0.555, 0.885], [0.963, 0.380, 0.358]]}


Entry 10:
{"formula": "LaPrCuIr", "functional": "PBE-GGA", "state": "optimized geometry", "ef_mev_per_atom": -400, "cell": [[5.099, 0.000, 0.000], [2.549, 4.416, 0.000], [2.549, 1.472, 4.163]], "species": ["La", "Cu", "Ir", "Pr"], "fractional_positions": [[0.500, 0.500, 0.500], [0.250, 0.250, 0.250], [0.750, 0.750, 0.750], [0.000, 0.000, 0.000]]}


Entry 11:
{"formula": "Ac2VAs", "functional": "PBE-GGA", "state": "optimized geometry", "ef_mev_per_atom": 242, "cell": [[-3.204, -0.585, 2.468], [-1.218, -3.795, 0.903], [4.816, -1.540, 9.268]], "species": ["Ac", "V", "As", "Ac"], "fractional_positions": [[0.103, 0.103, 0.690], [0.000, 0.000, 0.000], [0.500, 0.500, 0.500], [0.897, 0.897, 0.310]]}


Entry 12:
{"formula": "BaNbHg2N", "functional": "PBE-GGA", "state": "optimized geometry", "e_form_raw_mev_per_atom": 261, "cell": [[-5.468, -0.732, 1.780], [-1.212, -0.213, -3.810], [0.792, -5.742, 0.069]], "species": ["Ba", "Hg", "Hg", "N", "Nb"], "fractional_positions": [[0.500, 0.500, 0.500], [0.000, 0.000, 0.500], [0.500, 0.000, 0.000], [0.000, 0.000, 0.000], [0.000, 0.500, 0.000]]}


no.,E_tot (eV per atom)
1,-6.5851
2,-5.8534
3,-4.3862
4,-3.0639
5,-7.7866
6,-4.5833
7,-4.6338
8,-8.7425
9,-6.4528
10,-6.0657
11,-5.2547
12,-3.9230